# 1
A plane-wave DFT calculation with SCAN was carried out for a crystal of BeAl2Si relaxed with PBEsol.

## Properties
Its total moment is 0.0 Bohr magnetons per cell. Its density of states at the Fermi level is 0.340 states/eV/atom. As for the formation energy from raw total energies: 0.255 eV/atom.

CIF file:
```
data_BeAl2Si
_chemical_formula_sum 'Be1 Al2 Si1'
_cell_length_a 2.689
_cell_length_b 3.458
_cell_length_c 5.971
_cell_angle_alpha 90.00
_cell_angle_beta 90.00
_cell_angle_gamma 90.00
_symmetry_space_group_name_H-M 'P m m 2'
_symmetry_Int_Tables_number 25
_symmetry_space_group_name_Hall 'P 2 -2'
loop_
_atom_site_label
_atom_site_fract_x
_atom_site_fract_y
_atom_site_fract_z
Be1 0.000 0.000 0.000
Al1 0.000 0.000 0.454
Al2 0.500 0.500 0.749
Si1 0.500 0.500 0.182
```

# 2
A plane-wave DFT calculation with SCAN was carried out for a crystal of BeAlSn3 relaxed with PBEsol.

## Properties
Its total moment is 0.0 Bohr magnetons per cell. Its density of states at the Fermi level is 0.537 states/eV/atom. As for the calculated formation energy: 0.560 eV/atom.

CIF file:
```
data_BeAlSn3
_chemical_formula_sum 'Be1 Al1 Sn3'
_cell_length_a 4.860
_cell_length_b 4.860
_cell_length_c 4.860
_cell_angle_alpha 90.00
_cell_angle_beta 90.00
_cell_angle_gamma 90.00
_symmetry_space_group_name_H-M 'P m -3 m'
_symmetry_Int_Tables_number 221
_symmetry_space_group_name_Hall '-P 4 2 3'
loop_
_atom_site_label
_atom_site_fract_x
_atom_site_fract_y
_atom_site_fract_z
Be1 0.000 0.000 0.000
Al1 0.500 0.500 0.500
Sn1 0.000 0.000 0.500
```

# 3
A plane-wave DFT calculation with SCAN was carried out for a crystal of SrBe2Al relaxed with PBEsol.

## Properties
Its total moment is 0.0 Bohr magnetons per cell. Its density of states at the Fermi level is 0.226 states/eV/atom. As for the calculated formation energy: 0.583 eV/atom.

CIF file:
```
data_SrBe2Al
_chemical_formula_sum 'Sr4 Be8 Al4'
_cell_length_a 6.536
_cell_length_b 6.536
_cell_length_c 6.536
_cell_angle_alpha 90.00
_cell_angle_beta 90.00
_cell_angle_gamma 90.00
_symmetry_space_group_name_H-M 'F -4 3 m'
_symmetry_Int_Tables_number 216
_symmetry_space_group_name_Hall 'F -4 2 3'
loop_
_atom_site_label
_atom_site_fract_x
_atom_site_fract_y
_atom_site_fract_z
Sr1 0.000 0.000 0.000
Be1 0.000 0.000 0.500
Be2 0.250 0.250 0.750
Al1 0.250 0.250 0.250
```

# 4
A plane-wave DFT calculation with SCAN was carried out for a crystal of SrBe2Al relaxed with PBEsol.

## Properties
Its total moment is 0.0 Bohr magnetons per cell. Its density of states at the Fermi level is 0.532 states/eV/atom. As for the calculated formation energy: 0.044 eV/atom.

CIF file:
```
data_SrBe2Al
_chemical_formula_sum 'Sr3 Be6 Al3'
_cell_length_a 3.9563
_cell_length_b 3.9563
_cell_length_c 16.9941
_cell_angle_alpha 90.00
_cell_angle_beta 90.00
_cell_angle_gamma 120.00
_symmetry_space_group_name_H-M 'R 3 m'
_symmetry_Int_Tables_number 160
_symmetry_space_group_name_Hall 'R 3 -2"'
loop_
_atom_site_label
_atom_site_fract_x
_atom_site_fract_y
_atom_site_fract_z
Sr1 0.0000 0.0000 0.0000
Be1 0.0000 0.0000 0.4810
Be2 0.0000 0.0000 0.8087
Al1 0.0000 0.0000 0.1901
```